Material: HgPIr3
Method: DFT, GGA-PBEsol
State: relaxed

Cell: 4.838 4.838 4.838 Å, 90.00 90.00 90.00°
Fractional coordinates of all 5 atoms:
Ir 0.000 0.000 0.500
Ir 0.500 0.000 0.000
Ir 0.000 0.500 0.000
P 0.500 0.500 0.500
Hg 0.000 0.000 0.000

Properties
- D(E_F): 8.934 states/eV/f.u.
- Formation enthalpy at 0 K: 2.89 eV/atom
- Total moment: 1.8 μB/cell